Entry from Alexandria via LeMat-Bulk: Li4Zn2Ag3 after structural relaxation (PBE).

Geometry as POSCAR:
```
Li4Zn2Ag3
1.0
-2.744 -1.372 -2.339
3.429 -5.232 -0.954
-2.419 -0.081 6.067
Li Ag Zn
4 3 2
Direct
0.452 0.673 0.905
0.780 0.674 0.560
0.220 0.326 0.440
0.548 0.327 0.095
0.000 0.000 0.000
0.883 0.332 0.766
0.117 0.668 0.234
0.668 0.003 0.336
0.332 0.997 0.664
```

Calculated values
space group: C2/m, No. 12
V: 143 Å³ per cell
formation energy from the elements: -0.1861 eV per atom
DOS at the Fermi energy: 2.4 states/eV per cell